This record from Alexandria via LeMat-Bulk describes a crystal of Ba2LiIn relaxed with PBEsol. The functional is SCAN.

Properties
ΔH_f (0 K): -106 kJ/mol of formula units
density: 4.58 Mg/m³
Fermi-level density of states: 3.28 states/eV/f.u.

Lattice parameters (Å, degrees): 4.0430 5.9391 6.9832 115.17 106.83 90.00
Last column: magnetic moment on the atom in μB.
Sites, in units of the cell vectors:
Ba 0.7834 0.2834 0.5669  0.06
Li 0.2003 0.7003 0.4006  0.01
In 0.5368 0.5368 0.0736  0.01
Ba 0.9795 0.9795 0.9590  0.06